w.
First-principles (PBE-GGA) data for a relaxed TcSCl2O crystal, as listed in Alexandria via LeMat-Bulk.

Lattice parameters (Å, degrees): 4.8065 4.8065 4.4779 90.00 90.00 90.00
Last column: nearest neighbours and their distance in Å.
Fractional positions:
Cl1 0.5000 0.0000 0.0000  2 Tc 2.40
S1 0.0000 0.0000 0.5000  2 Tc 2.24
O1 0.5000 0.5000 0.5000  8 Cl 3.28, 4 S 3.40
Tc1 0.0000 0.0000 0.0000  2 S 2.24, 4 Cl 2.40
Cl2 0.0000 0.5000 0.0000  2 Tc 2.40

Results
DOS(E_F)   8.75 states/eV per cell

***

x.
First-principles (PBE-GGA) data for a relaxed TcSCl2O crystal, as listed in Alexandria via LeMat-Bulk.

Lattice parameters (Å, degrees): 4.5463 4.5463 4.2687 90.00 90.00 90.00
Last column: nearest neighbours and their distance in Å.
Fractional positions:
O1 0.0000 0.0000 0.0000  2 S 2.13, 4 Cl 2.27
S1 0.0000 0.0000 0.5000  2 O 2.13
Tc1 0.5000 0.5000 0.5000  8 Cl 3.12, 4 S 3.21
Cl1 0.0000 0.5000 0.0000  2 O 2.27
Cl2 0.5000 0.0000 0.0000  2 O 2.27

Results
DOS(E_F)   2.56 states/eV per cell

***

We find w to be the most stable, with the next structure 0.436 eV/atom higher.